1.
La8Co3HCl3 | PBE-GGA | relaxed

Values from the calculation:
Spin magnetization = 0.0 μB per cell
E_tot = -5.39 eV/atom
Mass density = 5.6 g cm⁻³
Space-group type = C2/m (12)

Cell and atoms, written as POSCAR:
```
La8Co3HCl3
1.0
7.0434 -4.0144 0.0000
7.0434 4.0144 0.0000
-4.6112 0.0000 7.3319
La Co H Cl
8 3 1 3
direct
0.2294 0.7427 0.7085
0.2379 0.2379 0.7053
0.2573 0.7706 0.2915
0.2590 0.2590 0.2914
0.7410 0.7410 0.7086
0.7427 0.2294 0.7085
0.7621 0.7621 0.2947
0.7706 0.2573 0.2915
0.0000 0.0000 0.5000
0.0000 0.5000 0.5000
0.5000 0.0000 0.5000
0.5000 0.5000 0.5000
0.0000 0.5000 0.0000
0.5000 0.0000 0.0000
0.5000 0.5000 0.0000
```

***

2.
ZrMnSn2S5 | PBE-GGA | relaxed

Values from the calculation:
Spin magnetization = 2.0 μB per cell
Raw formation energy = -0.657 eV/atom
Mass density = 4.3 g cm⁻³
Space-group type = Cmc2_1 (36)

Cell and atoms, written as POSCAR:
```
ZrMnSn2S5
1.0
1.8201 -9.5888 0.0000
1.8201 9.5888 0.0000
0.0000 0.0000 11.9555
Zr Mn Sn S
2 2 4 10
direct
0.1107 0.8893 0.5000
0.8893 0.1107 0.0000
0.2883 0.7117 0.1180
0.7117 0.2883 0.6180
0.3357 0.6643 0.7949
0.4143 0.5857 0.3691
0.5857 0.4143 0.8691
0.6643 0.3357 0.2949
0.0123 0.9877 0.3559
0.1647 0.8353 0.1459
0.2056 0.7944 0.7517
0.2375 0.7625 0.4961
0.4132 0.5868 0.1377
0.5868 0.4132 0.6377
0.7625 0.2375 0.9961
0.7944 0.2056 0.2517
0.8353 0.1647 0.6459
0.9877 0.0123 0.8559
```

***

3.
AlGe3Au | PBE-GGA | relaxed

Values from the calculation:
Calculated formation energy = 0.727 eV per atom
Spin magnetization = 0.0 μB per cell
Mass density = 5.7 g cm⁻³
Space-group type = Pm-3m (221)

Cell and atoms, written as POSCAR:
```
AlGe3Au
1.0
5.0487 0.0000 0.0000
0.0000 5.0487 0.0000
0.0000 0.0000 5.0487
Al Ge Au
1 3 1
direct
0.0000 0.0000 0.0000
0.0000 0.5000 0.5000
0.5000 0.0000 0.5000
0.5000 0.5000 0.0000
0.5000 0.5000 0.5000
```

***

4.
AcPmSmHo | PBE-GGA | relaxed

Values from the calculation:
Calculated formation energy = 0.215 eV per atom
Spin magnetization = 0.0 μB per cell
Mass density = 7.9 g cm⁻³
Space-group type = Pmm2 (25)

Cell and atoms, written as POSCAR:
```
AcPmSmHo
1.0
3.5398 0.0000 0.0000
0.0000 5.8160 0.0000
0.0000 0.0000 7.0489
Ac Pm Sm Ho
1 1 1 1
direct
0.0000 0.0000 0.0000
0.5000 0.5000 0.7410
0.0000 0.5000 0.2789
0.0000 0.0000 0.5121
```

***

5.
KAg2Mo | PBE-GGA | relaxed

Values from the calculation:
Calculated formation energy = 1.012 eV per atom
Spin magnetization = 4.2 μB per cell
Mass density = 6.2 g cm⁻³
Space-group type = Fm-3m (225)

Cell and atoms, written as POSCAR:
```
KAg2Mo
1.0
0.0000 3.6162 3.6162
3.6162 0.0000 3.6162
3.6162 3.6162 0.0000
K Ag Mo
1 2 1
direct
0.0000 0.0000 0.0000
0.2500 0.2500 0.2500
0.7500 0.7500 0.7500
0.5000 0.5000 0.5000
```

***

6.
TiSi3Pb | PBE-GGA | relaxed

Values from the calculation:
Spin magnetization = 0.0 μB per cell
Raw formation energy = 1.769 eV/atom
Mass density = 4.1 g cm⁻³
Space-group type = Pm-3m (221)

Cell and atoms, written as POSCAR:
```
TiSi3Pb
1.0
5.1464 0.0000 0.0000
0.0000 5.1464 0.0000
0.0000 0.0000 5.1464
Ti Si Pb
1 3 1
direct
0.0000 0.0000 0.0000
0.0000 0.5000 0.5000
0.5000 0.0000 0.5000
0.5000 0.5000 0.0000
0.5000 0.5000 0.5000
```

***

7.
La8NdTm5 | PBE-GGA | relaxed

Values from the calculation:
Calculated formation energy = 0.162 eV per atom
Spin magnetization = 0.0 μB per cell
Mass density = 7.1 g cm⁻³
Space-group type = C2 (5)

Cell and atoms, written as POSCAR:
```
La8NdTm5
1.0
6.5021 -5.6313 0.0000
6.5021 5.6313 0.0000
-6.2880 0.0000 6.6810
La Nd Tm
8 1 5
direct
0.0668 0.0668 0.2871
0.1002 0.2840 0.7710
0.3646 0.4945 0.7087
0.5055 0.6354 0.2913
0.5606 0.1306 0.9505
0.7160 0.8998 0.2290
0.8694 0.4394 0.0495
0.9332 0.9332 0.7129
0.2113 0.7887 0.0000
0.2282 0.7718 0.5000
0.3352 0.2909 0.2493
0.5438 0.1107 0.5438
0.7091 0.6649 0.7507
0.8893 0.4562 0.4562
```

***

8.
SrMgP2H | PBE-GGA | relaxed

Values from the calculation:
Spin magnetization = 0.3 μB per cell
E_tot = -3.56 eV/atom
Mass density = 2.8 g cm⁻³
Space-group type = P4/mmm (123)

Cell and atoms, written as POSCAR:
```
SrMgP2H
1.0
4.9315 0.0000 0.0000
0.0000 4.9315 0.0000
0.0000 0.0000 4.2340
Sr Mg P H
1 1 2 1
direct
0.0000 0.0000 0.0000
0.5000 0.5000 0.5000
0.0000 0.5000 0.5000
0.5000 0.0000 0.5000
0.5000 0.5000 0.0000
```

***

9.
Ba2PmTl | PBE-GGA | relaxed

Values from the calculation:
Calculated formation energy = -0.031 eV per atom
Spin magnetization = 0.9 μB per cell
Mass density = 6.1 g cm⁻³
Space-group type = P4/mmm (123)

Cell and atoms, written as POSCAR:
```
Ba2PmTl
1.0
4.1342 0.0000 0.0000
0.0000 4.1342 0.0000
0.0000 0.0000 9.9752
Ba Pm Tl
2 1 1
direct
0.0000 0.0000 0.2186
0.0000 0.0000 0.7814
0.5000 0.5000 0.5000
0.5000 0.5000 0.0000
```

***

10.
Tl2Ge3Au9 | PBE-GGA | relaxed

Values from the calculation:
Calculated formation energy = 0.034 eV per atom
Spin magnetization = 0.0 μB per cell
Mass density = 13.8 g cm⁻³
Space-group type = C2/c (15)

Cell and atoms, written as POSCAR:
```
Tl2Ge3Au9
1.0
6.9476 -3.9728 0.0000
6.9476 3.9728 0.0000
-4.8270 0.0000 10.4342
Tl Ge Au
4 6 18
direct
0.0854 0.2478 0.2500
0.2478 0.0854 0.7500
0.7522 0.9146 0.2500
0.9146 0.7522 0.7500
0.0000 0.5000 0.0000
0.1631 0.6689 0.5007
0.3311 0.8369 0.9993
0.5000 0.0000 0.5000
0.6689 0.1631 0.0007
0.8369 0.3311 0.4993
0.0255 0.8476 0.0612
0.1524 0.9745 0.4388
0.1948 0.3556 0.5618
0.1968 0.5895 0.2524
0.3079 0.4723 0.9162
0.3556 0.1948 0.0618
0.3638 0.6362 0.7500
0.4105 0.8032 0.2476
0.4723 0.3079 0.4162
0.5277 0.6921 0.5838
0.5895 0.1968 0.7524
0.6362 0.3638 0.2500
0.6444 0.8052 0.9382
0.6921 0.5277 0.0838
0.8032 0.4105 0.7476
0.8052 0.6444 0.4382
0.8476 0.0255 0.5612
0.9745 0.1524 0.9388
```

***

11.
MnFe3Au | PBE-GGA | relaxed

Values from the calculation:
Calculated formation energy = 1.030 eV per atom
Spin magnetization = 5.1 μB per cell
Mass density = 9.4 g cm⁻³
Space-group type = Pm-3m (221)

Cell and atoms, written as POSCAR:
```
MnFe3Au
1.0
4.2068 0.0000 0.0000
0.0000 4.2068 0.0000
0.0000 0.0000 4.2068
Mn Fe Au
1 3 1
direct
0.0000 0.0000 0.0000
0.0000 0.0000 0.5000
0.0000 0.5000 0.0000
0.5000 0.0000 0.0000
0.5000 0.5000 0.5000
```

***

12.
LiGa2S | PBE-GGA | relaxed

Values from the calculation:
Spin magnetization = 0.0 μB per cell
Raw formation energy = -0.362 eV/atom
Mass density = 3.9 g cm⁻³
Space-group type = I-42d (122)

Cell and atoms, written as POSCAR:
```
LiGa2S
1.0
-3.7491 3.7491 2.6808
3.7491 -3.7491 2.6808
3.7491 3.7491 -2.6808
Li Ga S
2 4 2
direct
0.0000 0.0000 0.0000
0.7500 0.2500 0.5000
0.1526 0.6250 0.0276
0.3750 0.4026 0.5276
0.5974 0.1250 0.9724
0.8750 0.8474 0.4724
0.2500 0.7500 0.5000
0.5000 0.5000 0.0000
```

***

> Which of these has the lowest mass density?

SrMgP2H